No. 1
Density functional theory data (PBE-GGA) for CrCl after structural relaxation.

Cell: 5.1670 5.1670 3.6466 Å, 90.00 90.00 90.00°
Fractional coordinates of all 4 atoms:
Cr  0.2500  0.2500  0.0083
Cr  0.7500  0.7500  0.9917
Cl  0.2500  0.7500  0.0000
Cl  0.7500  0.2500  0.0000

symmetry	No. 129
Fermi-level density of states	0.426	states/eV/atom

---

No. 2
Density functional theory data (PBE-GGA) for CrCl3 after structural relaxation.

Cell: 6.0567 6.0567 20.1426 Å, 90.00 90.00 120.00°
Fractional coordinates of all 24 atoms:
Cr  0.1110  0.2219  0.3333
Cr  0.1114  0.5557  0.0000
Cr  0.1110  0.8890  0.6667
Cr  0.4443  0.5557  0.6667
Cr  0.4443  0.8886  0.3333
Cr  0.7781  0.8890  0.0000
Cl  0.0850  0.2224  0.9336
Cl  0.0850  0.8626  0.0664
Cl  0.1374  0.2224  0.7330
Cl  0.1373  0.5552  0.3997
Cl  0.1373  0.5821  0.6003
Cl  0.1374  0.9150  0.2670
Cl  0.4179  0.1955  0.3997
Cl  0.4179  0.2224  0.6003
Cl  0.4179  0.5552  0.2670
Cl  0.4179  0.8627  0.7330
Cl  0.4448  0.5821  0.0663
Cl  0.4448  0.8627  0.9337
Cl  0.7776  0.1955  0.2670
Cl  0.7776  0.5821  0.7330
Cl  0.7776  0.8626  0.6003
Cl  0.7776  0.9150  0.3997
Cl  0.8045  0.2224  0.0664
Cl  0.8045  0.5821  0.9336

symmetry	No. 153

---

No. 3
Density functional theory data (PBE-GGA) for Cr2Cl after structural relaxation.

Cell: 4.6601 4.6601 4.6601 Å, 109.62 109.62 109.18°
Fractional coordinates of all 6 atoms:
Cr  0.1572  0.6572  0.8145
Cr  0.3428  0.1572  0.5000
Cr  0.6572  0.8428  0.5000
Cr  0.8428  0.3428  0.1855
Cl  0.2500  0.2500  0.0000
Cl  0.7500  0.7500  0.0000

symmetry	No. 140
Fermi-level density of states	1.008	states/eV/atom
ΔE to the lowest computed polymorph	960	meV per atom

---

No. 4
Density functional theory data (PBE-GGA) for CrCl3 after structural relaxation.

Cell: 6.6019 6.6019 6.6019 Å, 152.06 67.57 119.87°
Fractional coordinates of all 4 atoms:
Cr  0.0000  0.0000  0.0000
Cl  0.0058  0.3655  0.6403
Cl  0.2688  0.7688  0.5000
Cl  0.7253  0.3655  0.3597

symmetry	No. 44

---

No. 5
Density functional theory data (PBE-GGA) for CrCl after structural relaxation.

Cell: 2.8292 3.1695 8.4460 Å, 90.00 90.00 90.00°
Fractional coordinates of all 4 atoms:
Cr  0.2500  0.2500  0.0782
Cr  0.7500  0.7500  0.9218
Cl  0.2500  0.7500  0.7127
Cl  0.7500  0.2500  0.2873

symmetry	No. 59
Fermi-level density of states	0.709	states/eV/atom

---

No. 6
Density functional theory data (PBE-GGA) for CrCl3 after structural relaxation.

Cell: 4.7642 4.7642 4.7642 Å, 60.00 60.00 60.00°
Fractional coordinates of all 4 atoms:
Cr  0.0000  0.0000  0.0000
Cl  0.2500  0.2500  0.2500
Cl  0.5000  0.5000  0.5000
Cl  0.7500  0.7500  0.7500

symmetry	No. 225
Fermi-level density of states	1.059	states/eV/atom

---

Number 1: V 97.36 Å³/cell, calculated total energy -5.6795 eV/atom. Number 2: V 639.91 Å³/cell, calculated total energy -4.9122 eV/atom. Number 3: V 77.90 Å³/cell, calculated total energy -6.1796 eV/atom. Number 4: V 115.68 Å³/cell, calculated total energy -4.6793 eV/atom. Number 5: V 75.74 Å³/cell, calculated total energy -5.8898 eV/atom. Number 6: V 76.46 Å³/cell, calculated total energy -3.6985 eV/atom.